A relaxed structure of Tb2Sm3Cd4. Source: Alexandria via LeMat-Bulk, functional GGA-PBE.

Calculated values
The value obtained for the formation energy is -0.13 eV per atom. The density of states at the Fermi level is 37.32 states/eV/cell. The size of the total moment comes out at 0.00 μB per formula unit. As for the raw total energy: -3.14 eV per atom.

Lattice parameters (Å, degrees): 6.700 19.279 8.148 90.00 90.00 90.00
Space group Cmce (No. 64)
Symmetry-distinct sites (fractional):
Tb (0.000, 0.090, 0.100) x8
Sm (0.000, 0.000, 0.500) x4
Sm (0.250, 0.246, 0.750) x8
Cd (0.000, 0.157, 0.480) x8
Cd (0.250, 0.078, 0.750) x8



A relaxed structure of NbHOs. Source: Alexandria via LeMat-Bulk, functional GGA-PBE.

Calculated values
The density of states at the Fermi level is 2.41 states/eV/cell. The size of the total moment comes out at 0.00 μB per formula unit. As for the raw total energy: -8.30 eV per atom. The excess energy over the best structure of this formula in the dataset comes out at 0.11 eV per formula unit.

Lattice parameters (Å, degrees): 2.957 2.957 3.915 90.00 90.00 90.00
Space group P4/mmm (No. 123)
Symmetry-distinct sites (fractional):
Nb (0.000, 0.000, 0.000) x1
H (0.500, 0.500, 0.000) x1
Os (0.500, 0.500, 0.500) x1